Below is a geometry-optimized AcPS4 structure, with properties calculated at the PBE level.

```
AcPS4
1.0
-5.530 0.923 2.211
6.093 -3.693 2.996
2.887 7.933 3.908
Ac P S
2 2 8
Cartesian
0.787 4.426 7.043
2.663 0.737 2.073
5.711 -1.147 3.646
-2.261 6.310 5.470
-0.241 1.603 2.461
1.999 -0.438 4.949
4.144 -1.891 2.530
-0.694 7.054 6.586
5.130 0.820 3.865
3.691 3.560 6.655
1.451 5.601 4.167
-1.681 4.343 5.250
```

Summary:
Crystal system: monoclinic
Formation energy from raw total energies in eV per atom: -1.088

Below is a geometry-optimized CaAcSb2O8 structure, with properties calculated at the PBE level.

```
CaAcSb2O8
1.0
5.506 0.000 0.000
0.000 5.506 0.000
-2.753 -2.753 5.850
O Sb Ac Ca
8 2 1 1
Cartesian
0.978 4.069 1.921
1.847 1.418 1.044
-1.316 -1.775 3.929
1.316 1.775 3.929
3.659 4.088 1.044
1.335 -0.906 4.806
4.528 1.436 1.921
-1.335 0.906 4.806
0.000 2.753 2.925
2.753 2.753 0.000
0.000 0.000 0.000
2.753 0.000 2.925
```

Summary:
Crystal system: tetragonal
Formation energy from raw total energies in eV per atom: -1.983

Below is a geometry-optimized BaMnBi2Se4 structure, with properties calculated at the PBE level.

```
BaMnBi2Se4
1.0
-0.962 -1.053 -4.426
0.831 -6.253 3.750
-14.339 -0.033 3.123
Bi Se Mn Ba
4 8 2 2
Cartesian
-13.392 -5.201 4.147
-7.582 -5.188 2.882
-6.887 -2.151 -0.435
-1.077 -2.138 -1.700
0.000 0.000 0.000
-1.546 -3.632 1.200
-4.023 -1.362 -1.245
-12.923 -3.707 1.247
-5.248 -3.640 2.006
-10.447 -5.976 3.692
-7.169 -0.017 1.562
-9.221 -3.698 0.440
-10.989 -5.312 1.209
-3.480 -2.026 1.238
-10.668 -1.699 2.722
-3.802 -5.640 -0.275
```

Summary:
Crystal system: orthorhombic
Formation energy from raw total energies in eV per atom: -0.624

Below is a geometry-optimized LiAlH3 structure, with properties calculated at the PBE level.

```
LiAlH3
1.0
-2.161 -2.527 0.246
0.187 -0.481 -3.294
2.532 -2.121 0.453
H Li Al
3 1 1
Cartesian
0.094 -0.240 -1.647
1.266 -1.060 0.227
-1.080 -1.264 0.123
0.000 0.000 0.000
0.280 -2.564 -1.297
```

Summary:
Crystal system: cubic
DFT total energy in eV/atom: -2.878

Below is a geometry-optimized Na10B13C7 structure, with properties calculated at the PBE level.

```
Na10B13C7
1.0
2.875 0.000 0.000
-1.438 2.490 0.000
0.000 0.000 42.519
C B Na
7 13 10
Cartesian
0.000 1.660 36.033
0.000 1.660 19.241
1.438 0.830 23.438
1.438 0.830 40.229
1.438 0.830 31.836
0.000 1.660 27.637
1.438 0.830 15.046
0.000 1.660 40.231
0.000 1.660 23.438
0.000 1.660 2.002
1.438 0.830 2.003
0.000 1.660 6.378
0.000 1.660 10.753
1.438 0.830 6.378
0.000 1.660 31.837
1.438 0.830 36.033
1.438 0.830 10.753
1.438 0.830 19.241
1.438 0.830 27.637
0.000 1.660 15.044
0.000 0.000 25.537
0.000 0.000 21.338
0.000 0.000 33.936
0.000 0.000 17.141
0.000 0.000 12.924
0.000 0.000 4.186
0.000 0.000 38.134
0.000 0.000 29.738
0.000 0.000 42.351
0.000 0.000 8.570
```

Summary:
Crystal system: hexagonal
Calculated formation energy in meV per atom: 118

Below is a geometry-optimized Ti2NbSe2Cl4 structure, with properties calculated at the PBE level.

```
Ti2NbSe2Cl4
1.0
3.362 0.000 0.000
-1.681 2.912 0.000
0.000 0.000 21.369
Ti Nb Se Cl
2 1 2 4
Cartesian
1.681 0.971 14.014
0.000 0.000 20.887
0.000 0.000 6.961
1.681 0.971 5.234
1.681 0.971 8.689
0.000 0.000 12.460
0.000 0.000 15.576
1.681 0.971 1.073
1.681 0.971 19.325
```

Summary:
Crystal system: trigonal
Formation energy from raw total energies in eV per atom: -1.276

Below is a geometry-optimized Sr2TbHg8 structure, with properties calculated at the PBE level.

```
Sr2TbHg8
1.0
-3.913 3.244 -1.448
-2.567 -5.222 -4.762
-0.794 -1.218 9.062
Tb Hg Sr
1 8 2
Cartesian
-1.957 1.622 -0.724
-1.247 -0.742 1.707
-2.914 -1.027 5.572
-3.990 -0.569 -0.136
-0.817 -1.550 -1.264
-3.284 -2.628 2.988
-6.027 -2.454 1.144
-4.361 -2.169 -2.720
-6.457 -1.646 4.116
-4.152 0.626 2.978
-3.122 -3.822 -0.126
```

Summary:
Crystal system: monoclinic
Calculated formation energy in meV per atom: -375

Below is a geometry-optimized CuAsS2 structure, with properties calculated at the PBE level.

```
CuAsS2
1.0
-2.868 1.438 5.120
0.963 -6.632 2.401
7.014 2.215 3.308
Cu S As
4 8 4
Cartesian
-0.112 -2.034 4.113
2.083 -4.809 6.122
4.427 1.126 2.203
6.622 -1.649 4.212
1.812 -3.162 4.553
5.431 -1.029 6.060
4.051 -2.477 9.181
3.424 1.805 4.140
-1.084 -1.569 6.127
2.597 0.532 7.522
0.923 -4.403 8.047
0.359 -0.152 2.894
3.220 -3.449 2.867
5.488 -2.971 7.569
3.246 -0.212 5.538
0.978 -0.689 0.836
```

Summary:
Crystal system: orthorhombic
Formation energy from raw total energies in eV per atom: -0.128

Below is a geometry-optimized LiHfH4 structure, with properties calculated at the PBE level.

```
LiHfH4
1.0
3.237 0.161 -0.055
-0.160 3.237 -0.055
0.066 0.073 4.763
Li H Hf
1 4 1
Cartesian
1.618 0.081 -0.027
3.093 3.414 1.088
1.590 1.754 3.511
0.050 0.057 3.566
1.552 1.717 1.143
-0.047 1.655 2.354
```

Summary:
Crystal system: monoclinic
DFT total energy in eV/atom: -4.585

Below is a geometry-optimized LaHfCu2 structure, with properties calculated at the PBE level.

```
LaHfCu2
1.0
7.537 0.000 0.000
0.000 7.537 0.000
3.768 3.768 3.115
Cu Hf La
4 2 2
Cartesian
5.930 1.884 0.779
5.653 5.375 2.337
1.606 5.653 0.779
9.421 9.699 2.337
7.537 3.768 1.558
0.000 0.000 0.000
3.768 7.537 1.558
3.768 3.768 0.000
```

Summary:
Crystal system: tetragonal
Calculated formation energy in meV per atom: 338

Below is a geometry-optimized DyTm4Hg5 structure, with properties calculated at the PBE level.

```
DyTm4Hg5
1.0
3.680 0.000 0.000
0.000 3.680 0.000
0.000 0.000 18.457
Tm Hg Dy
4 5 1
Cartesian
0.000 0.000 11.062
0.000 0.000 3.724
0.000 0.000 14.733
0.000 0.000 7.396
1.840 1.840 5.558
1.840 1.840 12.899
1.840 1.840 16.554
1.840 1.840 9.229
1.840 1.840 1.903
0.000 0.000 0.000
```

Summary:
Crystal system: tetragonal
Calculated formation energy in meV per atom: -480

Below is a geometry-optimized Sm3CdHg4 structure, with properties calculated at the PBE level.

```
Sm3CdHg4
1.0
-2.236 -1.725 2.358
4.785 -5.115 0.797
2.314 7.809 5.038
Hg Sm Cd
4 3 1
Cartesian
3.749 2.162 5.138
3.229 -3.453 3.407
1.635 4.422 4.786
1.114 -1.193 3.055
2.393 -2.557 0.399
1.578 1.930 2.908
3.286 -0.961 5.284
-1.118 -0.862 1.179
```

Summary:
Crystal system: orthorhombic
Calculated formation energy in meV per atom: -314

Below is a geometry-optimized HoAgPt2 structure, with properties calculated at the PBE level.

```
HoAgPt2
1.0
-2.112 1.973 -2.808
2.046 -2.131 -3.035
-2.971 -3.017 0.115
Ho Ag Pt
1 1 2
Cartesian
-1.056 0.986 -1.404
-1.518 -1.587 -2.864
1.023 -1.065 -1.518
-1.486 -1.508 0.057
```

Summary:
Crystal system: tetragonal
Calculated formation energy in meV per atom: -836

Below is a geometry-optimized Ac3Be2CuPd9 structure, with properties calculated at the PBE level.

```
Ac3Be2CuPd9
1.0
6.822 0.000 0.000
-3.411 5.908 0.000
0.000 0.000 7.250
Be Pd Cu Ac
2 9 1 3
Cartesian
3.411 1.969 6.206
0.000 3.939 1.043
4.963 1.073 4.903
1.552 4.835 2.346
-1.705 2.954 0.000
-1.552 4.835 2.346
1.859 1.073 4.903
1.705 2.954 0.000
3.411 3.762 4.903
3.411 0.000 0.000
0.000 2.146 2.346
0.000 0.000 3.625
0.000 3.939 4.826
0.000 0.000 0.000
3.411 1.969 2.423
```

Summary:
Crystal system: trigonal
Calculated formation energy in meV per atom: -603

Below is a geometry-optimized PrHo2Pd structure, with properties calculated at the PBE level.

```
PrHo2Pd
1.0
3.786 -0.002 0.000
-1.896 6.346 0.000
0.000 0.000 9.274
Ho Pr Pd
4 2 2
Cartesian
-0.005 4.593 8.721
1.895 1.751 4.084
-0.005 4.593 5.190
1.895 1.751 0.553
1.887 5.600 2.319
0.002 0.744 6.956
1.889 3.340 6.956
0.001 3.003 2.319
```

Summary:
Crystal system: monoclinic
Calculated formation energy in meV per atom: -442

Below is a geometry-optimized ZrRe2Hg structure, with properties calculated at the PBE level.

```
ZrRe2Hg
1.0
5.190 -0.089 0.282
4.169 3.092 0.282
1.295 0.415 4.531
Re Zr Hg
2 1 1
Cartesian
5.244 1.683 2.369
0.083 0.027 0.178
7.990 2.564 3.821
2.663 0.855 1.274
```

Summary:
Crystal system: monoclinic
Calculated formation energy in meV per atom: 409

Below is a geometry-optimized NaTbTa4N8 structure, with properties calculated at the PBE level.

```
NaTbTa4N8
1.0
-3.869 1.663 -4.728
-6.259 -0.723 0.628
-3.742 5.250 0.669
Ta N Tb Na
4 8 1 1
Cartesian
-3.801 3.483 -1.950
-6.801 1.288 -2.460
-4.954 2.332 0.635
-1.933 2.681 0.332
-7.280 4.822 -3.164
-6.614 1.353 -0.526
-5.146 3.905 -0.556
-10.393 4.514 -2.626
-5.451 2.514 -3.134
-8.498 2.162 -2.828
-3.483 1.760 -0.770
-8.597 3.506 -0.210
-7.070 4.913 -0.966
-10.132 0.999 -4.075
```

Summary:
Crystal system: trigonal
Formation energy from raw total energies in eV per atom: -0.961

Below is a geometry-optimized BaPd2WN structure, with properties calculated at the PBE level.

```
BaPd2WN
1.0
-1.884 -4.388 -1.183
3.391 -0.980 -1.768
1.672 -1.860 4.237
W N Ba Pd
1 1 1 2
Cartesian
1.696 -0.490 -0.884
0.000 0.000 0.000
1.590 -3.614 0.643
-0.942 -2.194 -0.591
0.836 -0.930 2.118
```

Summary:
Crystal system: tetragonal
Formation energy from raw total energies in eV per atom: 0.261

Below is a geometry-optimized NaGa10Pt2 structure, with properties calculated at the PBE level.

```
NaGa10Pt2
1.0
-2.045 -5.646 3.325
4.617 1.825 4.741
-6.894 5.259 4.689
Ga Na Pt
20 2 4
Cartesian
-4.797 2.147 11.250
-0.001 1.072 3.976
-2.512 5.272 8.648
-6.189 2.279 8.401
-3.615 -2.457 5.334
-3.185 -0.012 6.358
-1.685 -0.946 3.764
-1.810 -3.834 4.106
-4.321 0.365 8.779
0.475 -0.709 1.505
-3.441 3.579 6.470
-1.358 -0.476 8.911
-2.964 1.914 3.844
1.867 -0.842 4.354
0.902 -0.271 6.811
-0.707 3.895 7.421
-1.138 1.450 6.397
-2.638 2.384 8.991
-0.882 -2.141 6.285
-5.225 1.709 5.944
2.107 2.261 5.743
-6.429 -0.823 7.012
2.308 0.912 2.371
-4.469 -0.193 4.007
-1.139 3.542 4.715
-1.022 -2.823 1.662
```

Summary:
Crystal system: monoclinic
Calculated formation energy in meV per atom: -259

Below is a geometry-optimized Rb2SbCl structure, with properties calculated at the PBE level.

```
Rb2SbCl
1.0
0.996 -4.232 4.373
0.899 1.756 5.842
-4.322 -1.114 4.254
Rb Sb Cl
2 1 1
Cartesian
-0.607 -0.897 3.617
-1.820 -2.692 10.852
-1.214 -1.795 7.235
0.000 0.000 0.000
```

Summary:
Crystal system: cubic
Formation energy from raw total energies in eV per atom: -0.648

Below is a geometry-optimized TcPdRh2 structure, with properties calculated at the PBE level.

```
TcPdRh2
1.0
6.946 0.000 0.000
0.000 6.946 0.000
3.473 3.473 2.701
Tc Rh Pd
2 4 2
Cartesian
3.473 6.946 1.350
3.473 3.473 0.000
1.976 5.209 0.675
5.209 5.449 2.026
8.682 8.443 2.026
4.970 1.736 0.675
6.946 3.473 1.350
0.000 0.000 0.000
```

Summary:
Crystal system: tetragonal
Calculated formation energy in meV per atom: 437